Entry 1:
# CsNa7Tl5 | the Alexandria database | GGA-PBE | optimized geometry
data_CsNa7Tl5
_chemical_formula_sum 'Cs1 Na7 Tl5'
_space_group_name_H-M_alt 'P 1'
_space_group_IT_number 1
_space_group_name_Hall 'P 1'
_cell_length_a 6.683
_cell_length_b 8.743
_cell_length_c 8.743
_cell_angle_alpha 80.95
_cell_angle_beta 67.53
_cell_angle_gamma 67.53
loop_
_atom_site_label
_atom_site_type_symbol
_atom_site_fract_x
_atom_site_fract_y
_atom_site_fract_z
Cs1 Cs 0.004 0.996 0.996
Tl1 Tl 0.495 0.500 0.999
Tl2 Tl 0.005 0.500 0.999
Tl3 Tl 0.005 0.999 0.500
Tl4 Tl 0.495 0.999 0.500
Tl5 Tl 0.734 0.766 0.766
Na1 Na 0.993 0.354 0.660
Na2 Na 0.269 0.231 0.231
Na3 Na 0.338 0.662 0.662
Na4 Na 0.506 0.778 0.210
Na5 Na 0.506 0.210 0.778
Na6 Na 0.656 0.344 0.344
Na7 Na 0.993 0.660 0.354
# symmetry = Imm2 (44)



Entry 2:
# CsNa3Tl2 | the Alexandria database | GGA-PBE | optimized geometry
data_CsNa3Tl2
_chemical_formula_sum 'Cs3 Na9 Tl6'
_space_group_name_H-M_alt 'P 1'
_space_group_IT_number 1
_space_group_name_Hall 'P 1'
_cell_length_a 12.299
_cell_length_b 12.299
_cell_length_c 5.422
_cell_angle_alpha 90.00
_cell_angle_beta 90.00
_cell_angle_gamma 120.00
loop_
_atom_site_label
_atom_site_type_symbol
_atom_site_fract_x
_atom_site_fract_y
_atom_site_fract_z
Na1 Na 0.500 0.000 0.500
Na2 Na 0.000 0.500 0.500
Na3 Na 0.000 0.293 0.000
Na4 Na 0.000 0.707 0.000
Na5 Na 0.293 0.000 0.000
Na6 Na 0.707 0.707 0.000
Na7 Na 0.707 0.000 0.000
Na8 Na 0.293 0.293 0.000
Na9 Na 0.500 0.500 0.500
Cs1 Cs 0.333 0.667 0.000
Cs2 Cs 0.667 0.333 0.000
Cs3 Cs 0.000 0.000 0.500
Tl1 Tl 0.637 0.819 0.500
Tl2 Tl 0.181 0.819 0.500
Tl3 Tl 0.363 0.181 0.500
Tl4 Tl 0.819 0.637 0.500
Tl5 Tl 0.181 0.363 0.500
Tl6 Tl 0.819 0.181 0.500
# symmetry = P6/mmm (191)



Entry 3:
# CsNa2Tl5 | the Alexandria database | GGA-PBE | optimized geometry
data_CsNa2Tl5
_chemical_formula_sum 'Cs1 Na2 Tl5'
_space_group_name_H-M_alt 'P 1'
_space_group_IT_number 1
_space_group_name_Hall 'P 1'
_cell_length_a 4.936
_cell_length_b 8.226
_cell_length_c 8.226
_cell_angle_alpha 65.47
_cell_angle_beta 72.54
_cell_angle_gamma 72.54
loop_
_atom_site_label
_atom_site_type_symbol
_atom_site_fract_x
_atom_site_fract_y
_atom_site_fract_z
Na1 Na 0.248 0.252 0.252
Na2 Na 0.752 0.748 0.748
Tl1 Tl 0.375 0.809 0.442
Tl2 Tl 0.375 0.442 0.809
Tl3 Tl 0.625 0.558 0.191
Tl4 Tl 0.000 0.500 0.500
Tl5 Tl 0.625 0.191 0.558
Cs1 Cs 0.000 0.000 0.000
# symmetry = Immm (71)



Entry 4:
# CsNa4Tl4 | the Alexandria database | GGA-PBE | optimized geometry
data_CsNa4Tl4
_chemical_formula_sum 'Cs2 Na8 Tl8'
_space_group_name_H-M_alt 'P 1'
_space_group_IT_number 1
_space_group_name_Hall 'P 1'
_cell_length_a 4.757
_cell_length_b 11.479
_cell_length_c 11.479
_cell_angle_alpha 90.00
_cell_angle_beta 90.00
_cell_angle_gamma 90.00
loop_
_atom_site_label
_atom_site_type_symbol
_atom_site_fract_x
_atom_site_fract_y
_atom_site_fract_z
Tl1 Tl 0.000 0.313 0.313
Tl2 Tl 0.000 0.687 0.687
Tl3 Tl 0.500 0.813 0.813
Tl4 Tl 0.500 0.813 0.187
Tl5 Tl 0.500 0.187 0.187
Tl6 Tl 0.000 0.313 0.687
Tl7 Tl 0.000 0.687 0.313
Tl8 Tl 0.500 0.187 0.813
Na1 Na 0.000 0.676 0.000
Na2 Na 0.500 0.824 0.500
Na3 Na 0.500 0.500 0.824
Na4 Na 0.000 0.000 0.676
Na5 Na 0.000 0.000 0.324
Na6 Na 0.000 0.324 0.000
Na7 Na 0.500 0.500 0.176
Na8 Na 0.500 0.176 0.500
Cs1 Cs 0.500 0.500 0.500
Cs2 Cs 0.000 0.000 0.000
# symmetry = I4/mmm (139)



Entry 5:
# CsNaTl11 | the Alexandria database | GGA-PBE | optimized geometry
data_CsNaTl11
_chemical_formula_sum 'Cs1 Na1 Tl11'
_space_group_name_H-M_alt 'P 1'
_space_group_IT_number 1
_space_group_name_Hall 'P 1'
_cell_length_a 6.470
_cell_length_b 8.656
_cell_length_c 8.744
_cell_angle_alpha 82.62
_cell_angle_beta 68.29
_cell_angle_gamma 69.67
loop_
_atom_site_label
_atom_site_type_symbol
_atom_site_fract_x
_atom_site_fract_y
_atom_site_fract_z
Tl1 Tl 0.365 0.640 0.639
Tl2 Tl 0.000 0.000 0.500
Tl3 Tl 0.000 0.500 0.000
Tl4 Tl 0.004 0.640 0.361
Tl5 Tl 0.503 0.218 0.783
Tl6 Tl 0.500 0.000 0.500
Tl7 Tl 0.996 0.360 0.639
Tl8 Tl 0.713 0.782 0.783
Tl9 Tl 0.635 0.360 0.361
Tl10 Tl 0.287 0.218 0.217
Tl11 Tl 0.497 0.782 0.217
Cs1 Cs 0.000 0.000 0.000
Na1 Na 0.500 0.500 0.000
# symmetry = C2/m (12)



Entry 6:
# CsNaTl | the Alexandria database | GGA-PBE | optimized geometry
data_CsNaTl
_chemical_formula_sum 'Cs1 Na1 Tl1'
_space_group_name_H-M_alt 'P 1'
_space_group_IT_number 1
_space_group_name_Hall 'P 1'
_cell_length_a 4.502
_cell_length_b 5.999
_cell_length_c 5.999
_cell_angle_alpha 120.00
_cell_angle_beta 90.00
_cell_angle_gamma 90.00
loop_
_atom_site_label
_atom_site_type_symbol
_atom_site_fract_x
_atom_site_fract_y
_atom_site_fract_z
Cs1 Cs 0.667 0.333 0.667
Na1 Na 0.168 0.667 0.333
Tl1 Tl 0.165 0.000 0.000
# energy above the lowest structure with this stoichiometry = 0.0834 eV per atom
# symmetry = P3m1 (156)



Entry 7:
# Cs2NaTl10 | the Alexandria database | GGA-PBE | optimized geometry
data_Cs2NaTl10
_chemical_formula_sum 'Cs4 Na2 Tl20'
_space_group_name_H-M_alt 'P 1'
_space_group_IT_number 1
_space_group_name_Hall 'P 1'
_cell_length_a 6.819
_cell_length_b 8.015
_cell_length_c 19.840
_cell_angle_alpha 90.00
_cell_angle_beta 90.00
_cell_angle_gamma 90.00
loop_
_atom_site_label
_atom_site_type_symbol
_atom_site_fract_x
_atom_site_fract_y
_atom_site_fract_z
Cs1 Cs 0.500 0.284 0.329
Cs2 Cs 0.500 0.216 0.829
Cs3 Cs 0.500 0.716 0.671
Cs4 Cs 0.500 0.784 0.171
Tl1 Tl 0.000 0.169 0.421
Tl2 Tl 0.000 0.331 0.921
Tl3 Tl 0.271 0.168 0.557
Tl4 Tl 0.000 0.571 0.796
Tl5 Tl 0.000 0.831 0.579
Tl6 Tl 0.729 0.168 0.557
Tl7 Tl 0.000 0.071 0.704
Tl8 Tl 0.729 0.668 0.943
Tl9 Tl 0.271 0.332 0.057
Tl10 Tl 0.000 0.669 0.079
Tl11 Tl 0.271 0.832 0.443
Tl12 Tl 0.729 0.832 0.443
Tl13 Tl 0.000 0.067 0.151
Tl14 Tl 0.000 0.933 0.849
Tl15 Tl 0.271 0.668 0.943
Tl16 Tl 0.000 0.567 0.349
Tl17 Tl 0.000 0.429 0.204
Tl18 Tl 0.000 0.929 0.296
Tl19 Tl 0.000 0.433 0.651
Tl20 Tl 0.729 0.332 0.057
Na1 Na 0.000 0.000 0.000
Na2 Na 0.000 0.500 0.500
# symmetry = Pbam (55)



Entry 8:
# CsNaTl | the Alexandria database | GGA-PBE | optimized geometry
data_CsNaTl
_chemical_formula_sum 'Cs2 Na2 Tl2'
_space_group_name_H-M_alt 'P 1'
_space_group_IT_number 1
_space_group_name_Hall 'P 1'
_cell_length_a 7.201
_cell_length_b 7.201
_cell_length_c 7.201
_cell_angle_alpha 89.93
_cell_angle_beta 117.75
_cell_angle_gamma 122.39
loop_
_atom_site_label
_atom_site_type_symbol
_atom_site_fract_x
_atom_site_fract_y
_atom_site_fract_z
Na1 Na 0.500 0.500 0.000
Na2 Na 0.000 0.500 0.500
Cs1 Cs 0.250 0.119 0.369
Cs2 Cs 0.750 0.881 0.631
Tl1 Tl 0.500 0.000 0.000
Tl2 Tl 0.000 0.500 0.000
# energy above the lowest structure with this stoichiometry = 0.0091 eV per atom
# symmetry = Imma (74)



no.,calculated total energy (eV per atom),N(E_F) (states/eV/f.u.),volume (Å³/cell)
1,-1.7768,7.10,436.1
2,-1.6509,2.22,710.3
3,-1.9712,4.40,283.9
4,-1.7852,5.36,626.8
5,-2.2075,7.03,426.6
6,-1.4788,2.95,140.3
7,-2.0478,6.19,1084.3
8,-1.5531,2.27,263.2